No. 1
A plane-wave DFT calculation with PBE was carried out for MgReMo2 after structural relaxation.

Its volume is 130 Å³/cell.

The space group is Cmmm (No. 65) and the conventional cell measures 3.1596, 4.4577 and 9.2349 Å, with angles of 90.00, 90.00 and 90.00 degrees. The distinct sites, in fractional coordinates, are Mg at (0.0000, 0.0000, 0.0000), Re at (0.0000, 0.0000, 0.5000) and Mo at (0.0000, 0.5000, 0.2631).



No. 2
A plane-wave DFT calculation with PBE was carried out for MgReMo2 after structural relaxation.

Its volume is 127 Å³/cell.

The space group is C2/m (No. 12) and the conventional cell measures 5.4758, 9.0555 and 2.6855 Å, with angles of 90.00, 108.04 and 90.00 degrees. The distinct sites, in fractional coordinates, are Mg at (0.0000, 0.0000, 0.0000), Re at (0.0000, 0.5000, 0.0000) and Mo at (0.2500, 0.2500, 0.5000).



No. 3
A plane-wave DFT calculation with PBE was carried out for MgReMo2 after structural relaxation.

Its volume is 197 Å³/cell.

The space group is R-3m (No. 166, hexagonal axes) and the conventional cell measures 2.8310, 2.8310 and 28.3343 Å, with angles of 90.00, 90.00 and 120.00 degrees. The distinct sites, in fractional coordinates, are Mg at (0.0000, 0.0000, 0.0000), Re at (0.0000, 0.0000, 0.5000) and Mo at (0.0000, 0.0000, 0.2446).



No. 4
A plane-wave DFT calculation with PBE was carried out for MgReMo2 after structural relaxation.

Its volume is 64 Å³/cell.

The space group is Pmmm (No. 47) and the conventional cell measures 2.6539, 4.4556 and 5.4023 Å, with angles of 90.00, 90.00 and 90.00 degrees. The distinct sites, in fractional coordinates, are Mg at (0.0000, 0.0000, 0.0000), Re at (0.0000, 0.0000, 0.5000) and Mo at (0.5000, 0.5000, 0.2511).



No. 5
A plane-wave DFT calculation with PBE was carried out for MgReMo4 after structural relaxation.

Its volume is 399 Å³/cell.

The space group is F-43m (No. 216) and the conventional cell measures 7.3624, 7.3624 and 7.3624 Å, with angles of 90.00, 90.00 and 90.00 degrees. The distinct sites, in fractional coordinates, are Mg at (0.0000, 0.0000, 0.0000), Re at (0.2500, 0.2500, 0.2500) and Mo at (0.1251, 0.1251, 0.6251).



No. 6
A plane-wave DFT calculation with PBE was carried out for MgReMo2 after structural relaxation.

Its volume is 66 Å³/cell.

The space group is P4mm (No. 99) and the conventional cell measures 2.8121, 2.8121 and 8.3159 Å, with angles of 90.00, 90.00 and 90.00 degrees. The distinct sites, in fractional coordinates, are Mg at (0.0000, 0.0000, 0.0000), Re at (0.5000, 0.5000, 0.7435), Mo at (0.0000, 0.0000, 0.5203) and Mo at (0.5000, 0.5000, 0.2737).



No. 7
A plane-wave DFT calculation with PBE was carried out for MgRe4Mo after structural relaxation.

Its volume is 395 Å³/cell.

The space group is F-43m (No. 216) and the conventional cell measures 7.3359, 7.3359 and 7.3359 Å, with angles of 90.00, 90.00 and 90.00 degrees. The distinct sites, in fractional coordinates, are Mg at (0.0000, 0.0000, 0.0000), Re at (0.1255, 0.1255, 0.3745) and Mo at (0.2500, 0.2500, 0.7500).



No. 8
A plane-wave DFT calculation with PBE was carried out for Mg4ReMo after structural relaxation.

Its volume is 411 Å³/cell.

The space group is F-43m (No. 216) and the conventional cell measures 7.4347, 7.4347 and 7.4347 Å, with angles of 90.00, 90.00 and 90.00 degrees. The distinct sites, in fractional coordinates, are Mg at (0.1251, 0.1251, 0.1251), Re at (0.0000, 0.0000, 0.5000) and Mo at (0.2500, 0.2500, 0.7500).



No. 9
A plane-wave DFT calculation with PBE was carried out for MgReMo3 after structural relaxation.

Its volume is 109 Å³/cell. The polymorph energy (0 for the lowest one) is 0 meV per atom.

The space group is Pm-3m (No. 221) and the conventional cell measures 4.7772, 4.7772 and 4.7772 Å, with angles of 90.00, 90.00 and 90.00 degrees. The distinct sites, in fractional coordinates, are Mg at (0.0000, 0.0000, 0.0000), Re at (0.5000, 0.5000, 0.5000) and Mo at (0.0000, 0.5000, 0.5000).



No. 10
A plane-wave DFT calculation with PBE was carried out for MgReMo2 after structural relaxation.

Its volume is 63 Å³/cell.

The space group is Pmmm (No. 47) and the conventional cell measures 3.3036, 4.3722 and 4.3730 Å, with angles of 90.00, 90.00 and 90.00 degrees. The distinct sites, in fractional coordinates, are Mg at (0.0000, 0.0000, 0.0000), Re at (0.5000, 0.5000, 0.0000), Mo at (0.0000, 0.5000, 0.5000) and Mo at (0.5000, 0.0000, 0.5000).



No. 11
A plane-wave DFT calculation with PBE was carried out for MgReMo2 after structural relaxation.

Its volume is 63 Å³/cell.

The space group is P2/m (No. 10) and the conventional cell measures 2.6890, 4.4809 and 5.3614 Å, with angles of 90.00, 100.82 and 90.00 degrees. The distinct sites, in fractional coordinates, are Mg at (0.0000, 0.0000, 0.0000), Re at (0.5000, 0.0000, 0.5000) and Mo at (0.2778, 0.5000, 0.7497).



No. 12
A plane-wave DFT calculation with PBE was carried out for MgReMo2 after structural relaxation.

Its volume is 127 Å³/cell.

The space group is I-4m2 (No. 119) and the conventional cell measures 3.8113, 3.8113 and 8.7465 Å, with angles of 90.00, 90.00 and 90.00 degrees. The distinct sites, in fractional coordinates, are Mg at (0.0000, 0.0000, 0.0000), Re at (0.0000, 0.5000, 0.2500), Mo at (0.0000, 0.0000, 0.5000) and Mo at (0.0000, 0.5000, 0.7500).



No. 13
A plane-wave DFT calculation with PBE was carried out for MgReMo2 after structural relaxation.

Its volume is 67 Å³/cell.

The space group is P4/mmm (No. 123) and the conventional cell measures 2.8286, 2.8286 and 8.3420 Å, with angles of 90.00, 90.00 and 90.00 degrees. The distinct sites, in fractional coordinates, are Mg at (0.0000, 0.0000, 0.0000), Re at (0.0000, 0.0000, 0.5000) and Mo at (0.5000, 0.5000, 0.2750).



No. 14
A plane-wave DFT calculation with PBE was carried out for MgReMo2 after structural relaxation.

Its volume is 294 Å³/cell.

The space group is I-42d (No. 122) and the conventional cell measures 7.3803, 7.3803 and 5.3936 Å, with angles of 90.00, 90.00 and 90.00 degrees. The distinct sites, in fractional coordinates, are Mg at (0.0000, 0.0000, 0.0000), Re at (0.0000, 0.0000, 0.5000) and Mo at (0.2033, 0.2500, 0.6250).



No. 15
A plane-wave DFT calculation with PBE was carried out for MgReMo2 after structural relaxation.

Its volume is 129 Å³/cell.

The space group is Cmm2 (No. 35) and the conventional cell measures 3.1598, 4.4513 and 9.1798 Å, with angles of 90.00, 90.00 and 90.00 degrees. The distinct sites, in fractional coordinates, are Mg at (0.0000, 0.0000, 0.0000), Re at (0.0000, 0.5000, 0.2563), Mo at (0.0000, 0.0000, 0.4942) and Mo at (0.0000, 0.5000, 0.7356).



No. 16
A plane-wave DFT calculation with PBE was carried out for MgReMo2 after structural relaxation.

Its volume is 253 Å³/cell.

The space group is F-43m (No. 216) and the conventional cell measures 6.3226, 6.3226 and 6.3226 Å, with angles of 90.00, 90.00 and 90.00 degrees. The distinct sites, in fractional coordinates, are Mg at (0.0000, 0.0000, 0.0000), Re at (0.2500, 0.2500, 0.7500), Mo at (0.0000, 0.0000, 0.5000) and Mo at (0.2500, 0.2500, 0.2500).



No. 17
A plane-wave DFT calculation with PBE was carried out for MgReMo2 after structural relaxation.

Its volume is 128 Å³/cell.

The space group is Immm (No. 71) and the conventional cell measures 3.1287, 4.5162 and 9.0455 Å, with angles of 90.00, 90.00 and 90.00 degrees. The distinct sites, in fractional coordinates, are Mg at (0.0000, 0.0000, 0.0000), Re at (0.0000, 0.0000, 0.5000) and Mo at (0.0000, 0.5000, 0.2343).



No. 18
A plane-wave DFT calculation with PBE was carried out for MgRe3Mo after structural relaxation.

Its volume is 106 Å³/cell. The polymorph energy (0 for the lowest one) is 0 meV per atom.

The space group is Pm-3m (No. 221) and the conventional cell measures 4.7340, 4.7340 and 4.7340 Å, with angles of 90.00, 90.00 and 90.00 degrees. The distinct sites, in fractional coordinates, are Mg at (0.0000, 0.0000, 0.0000), Re at (0.0000, 0.5000, 0.5000) and Mo at (0.5000, 0.5000, 0.5000).



No. 19
A plane-wave DFT calculation with PBE was carried out for MgReMo2 after structural relaxation.

Its volume is 64 Å³/cell.

The space group is Pmm2 (No. 25) and the conventional cell measures 2.6348, 4.4781 and 5.4276 Å, with angles of 90.00, 90.00 and 90.00 degrees. The distinct sites, in fractional coordinates, are Mg at (0.0000, 0.0000, 0.0000), Re at (0.5000, 0.5000, 0.7534), Mo at (0.0000, 0.0000, 0.5037) and Mo at (0.5000, 0.5000, 0.2422).



No. 20
A plane-wave DFT calculation with PBE was carried out for Mg2Re2Mo after structural relaxation.

Its volume is 158 Å³/cell. The polymorph energy (0 for the lowest one) is 0 meV per atom.

The space group is P4/mbm (No. 127) and the conventional cell measures 7.0394, 7.0394 and 3.1852 Å, with angles of 90.00, 90.00 and 90.00 degrees. The distinct sites, in fractional coordinates, are Mg at (0.1253, 0.3747, 0.0000), Re at (0.1758, 0.6758, 0.5000) and Mo at (0.0000, 0.0000, 0.0000).



No. 21
A plane-wave DFT calculation with PBE was carried out for MgReMo2 after structural relaxation.

Its volume is 128 Å³/cell.

The space group is Cmmm (No. 65) and the conventional cell measures 5.3882, 8.8382 and 2.6870 Å, with angles of 90.00, 90.00 and 90.00 degrees. The distinct sites, in fractional coordinates, are Mg at (0.0000, 0.0000, 0.0000), Re at (0.0000, 0.5000, 0.0000) and Mo at (0.2500, 0.2500, 0.5000).



No. 22
A plane-wave DFT calculation with PBE was carried out for MgReMo2 after structural relaxation.

Its volume is 63 Å³/cell.

The space group is P4/mmm (No. 123) and the conventional cell measures 4.4113, 4.4113 and 3.2538 Å, with angles of 90.00, 90.00 and 90.00 degrees. The distinct sites, in fractional coordinates, are Mg at (0.0000, 0.0000, 0.0000), Re at (0.5000, 0.5000, 0.0000) and Mo at (0.0000, 0.5000, 0.5000).



No. 23
A plane-wave DFT calculation with PBE was carried out for MgReMo2 after structural relaxation.

Its volume is 129 Å³/cell.

The space group is Cm (No. 8) and the conventional cell measures 9.2810, 2.6563 and 5.2149 Å, with angles of 90.00, 91.73 and 90.00 degrees. The distinct sites, in fractional coordinates, are Mg at (0.0000, 0.0000, 0.0000), Re at (0.2451, 0.5000, 0.2457), Mo at (0.2521, 0.0000, 0.7568) and Mo at (0.4977, 0.0000, 0.4975).



No. 24
A plane-wave DFT calculation with PBE was carried out for MgReMo2 after structural relaxation.

Its volume is 65 Å³/cell.

The space group is P4mm (No. 99) and the conventional cell measures 3.1368, 3.1368 and 6.6367 Å, with angles of 90.00, 90.00 and 90.00 degrees. The distinct sites, in fractional coordinates, are Mg at (0.0000, 0.0000, 0.0000), Re at (0.5000, 0.5000, 0.7333), Mo at (0.0000, 0.0000, 0.5152) and Mo at (0.5000, 0.5000, 0.2773).



No. 25
A plane-wave DFT calculation with PBE was carried out for Mg2Re2Mo after structural relaxation.

Its volume is 182 Å³/cell. The polymorph energy (0 for the lowest one) is 67 meV per atom.

The space group is I4/mmm (No. 139) and the conventional cell measures 3.6024, 3.6024 and 14.0032 Å, with angles of 90.00, 90.00 and 90.00 degrees. The distinct sites, in fractional coordinates, are Mg at (0.0000, 0.0000, 0.0961), Re at (0.0000, 0.5000, 0.2500) and Mo at (0.0000, 0.0000, 0.5000).



No. 26
A plane-wave DFT calculation with PBE was carried out for MgRe2Mo2 after structural relaxation.

Its volume is 171 Å³/cell.

The space group is P4/mbm (No. 127) and the conventional cell measures 7.7229, 7.7229 and 2.8626 Å, with angles of 90.00, 90.00 and 90.00 degrees. The distinct sites, in fractional coordinates, are Mg at (0.0000, 0.0000, 0.0000), Re at (0.1494, 0.3506, 0.5000) and Mo at (0.1447, 0.6447, 0.0000).



No. 27
A plane-wave DFT calculation with PBE was carried out for MgReMo2 after structural relaxation.

Its volume is 63 Å³/cell.

The space group is Pm (No. 6) and the conventional cell measures 2.6848, 4.4853 and 5.3473 Å, with angles of 90.00, 99.77 and 90.00 degrees. The distinct sites, in fractional coordinates, are Mg at (0.0000, 0.0000, 0.0000), Re at (0.2772, 0.5000, 0.7513), Mo at (0.4901, 0.0000, 0.5042) and Mo at (0.7067, 0.5000, 0.2432).



No. 28
A plane-wave DFT calculation with PBE was carried out for MgReMo2 after structural relaxation.

Its volume is 128 Å³/cell.

The space group is Imm2 (No. 44) and the conventional cell measures 3.1362, 4.5268 and 8.9981 Å, with angles of 90.00, 90.00 and 90.00 degrees. The distinct sites, in fractional coordinates, are Mg at (0.0000, 0.0000, 0.0000), Re at (0.0000, 0.5000, 0.7627), Mo at (0.0000, 0.0000, 0.4956) and Mo at (0.0000, 0.5000, 0.2327).



No. 29
A plane-wave DFT calculation with PBE was carried out for MgReMoRu after structural relaxation.

Its volume is 243 Å³/cell.

The space group is F-43m (No. 216) and the conventional cell measures 6.2371, 6.2371 and 6.2371 Å, with angles of 90.00, 90.00 and 90.00 degrees. The distinct sites, in fractional coordinates, are Mg at (0.0000, 0.0000, 0.0000), Re at (0.2500, 0.2500, 0.2500), Mo at (0.0000, 0.0000, 0.5000) and Ru at (0.2500, 0.2500, 0.7500).



The records above give, respectively, ΔE_f values of 205 238 293 312 308 401 233 721 1452 388 206 403 332 788 167 328 218 1948 344 929 359 376 369 333 996 314 195 213 128 meV/atom.
The records above give, respectively, total magnetization values of 0.0 0.0 0.0 0.0 0.0 0.0 0.0 0.0 0.0 0.0 0.0 0.0 0.0 0.0 0.0 0.0 0.0 1.8 0.0 0.0 0.0 0.0 0.0 0.0 3.9 0.0 0.0 0.0 0.0 μB/cell.
The records above give, respectively, energy values of -8.7213 -8.6882 -8.6328 -8.6141 -9.2528 -8.5256 -10.1362 -4.2216 -7.8553 -8.5386 -8.7204 -8.5235 -8.5941 -8.1381 -8.7589 -8.5982 -8.7085 -8.0059 -8.5822 -6.8543 -8.5671 -8.5498 -8.5568 -8.5934 -6.7868 -9.3166 -8.7314 -8.7129 -8.4092 eV per atom.